{
  "formula": "Pr5Y5Tm2",
  "functional": "PBE",
  "state": "optimized geometry",
  "energy_ev_per_atom": -5.37,
  "space_group": "No. 12",
  "crystal_system": "monoclinic",
  "lattice_angstrom": [[8.613, -2.870, 0.000], [8.613, 2.870, 0.000], [-5.709, 0.000, 8.120]],
  "species": ["Pr", "Pr", "Pr", "Pr", "Pr", "Y", "Y", "Y", "Y", "Y", "Tm", "Tm"],
  "frac_coords": [[0.000, 0.000, 0.000], [0.122, 0.122, 0.786], [0.249, 0.249, 0.257], [0.751, 0.751, 0.743], [0.878, 0.878, 0.214], [0.375, 0.375, 0.046], [0.375, 0.375, 0.706], [0.500, 0.500, 0.500], [0.625, 0.625, 0.294], [0.625, 0.625, 0.954], [0.124, 0.124, 0.459], [0.876, 0.876, 0.541]]
}



{
  "formula": "NdSm6Zn2",
  "functional": "PBE",
  "state": "optimized geometry",
  "energy_ev_per_atom": -4.09,
  "space_group": "No. 12",
  "crystal_system": "monoclinic",
  "lattice_angstrom": [[6.343, -1.858, 0.000], [6.343, 1.858, 0.000], [-3.935, 0.000, 11.357]],
  "species": ["Nd", "Sm", "Sm", "Sm", "Sm", "Sm", "Sm", "Zn", "Zn"],
  "frac_coords": [[0.000, 0.000, 0.000], [0.025, 0.025, 0.331], [0.310, 0.310, 0.125], [0.312, 0.312, 0.410], [0.688, 0.688, 0.590], [0.690, 0.690, 0.875], [0.975, 0.975, 0.669], [0.351, 0.351, 0.794], [0.649, 0.649, 0.206]]
}



{
  "formula": "Li3ZnCd6",
  "functional": "PBE",
  "state": "optimized geometry",
  "energy_ev_per_atom": -1.42,
  "space_group": "No. 11",
  "crystal_system": "monoclinic",
  "lattice_angstrom": [[7.936, 0.000, 0.000], [0.000, 4.896, 0.000], [-3.709, 0.000, 9.946]],
  "species": ["Li", "Li", "Li", "Li", "Li", "Li", "Zn", "Zn", "Cd", "Cd", "Cd", "Cd", "Cd", "Cd", "Cd", "Cd", "Cd", "Cd", "Cd", "Cd"],
  "frac_coords": [[0.095, 0.250, 0.227], [0.298, 0.250, 0.026], [0.313, 0.750, 0.373], [0.687, 0.250, 0.627], [0.702, 0.750, 0.974], [0.905, 0.750, 0.773], [0.103, 0.750, 0.565], [0.897, 0.250, 0.435], [0.079, 0.250, 0.723], [0.096, 0.750, 0.070], [0.282, 0.250, 0.517], [0.296, 0.750, 0.865], [0.495, 0.250, 0.334], [0.495, 0.750, 0.169], [0.505, 0.250, 0.831], [0.505, 0.750, 0.666], [0.704, 0.250, 0.135], [0.718, 0.750, 0.483], [0.904, 0.250, 0.930], [0.921, 0.750, 0.277]]
}



{
  "formula": "Sm5GeRu2",
  "functional": "PBE",
  "state": "optimized geometry",
  "energy_ev_per_atom": -6.25,
  "space_group": "No. 140",
  "crystal_system": "tetragonal",
  "lattice_angstrom": [[-3.885, 3.885, 6.728], [3.885, -3.885, 6.728], [3.885, 3.885, -6.728]],
  "species": ["Sm", "Sm", "Sm", "Sm", "Sm", "Sm", "Sm", "Sm", "Sm", "Sm", "Ge", "Ge", "Ru", "Ru", "Ru", "Ru"],
  "frac_coords": [[0.000, 0.000, 0.000], [0.024, 0.524, 0.826], [0.198, 0.024, 0.500], [0.302, 0.802, 0.826], [0.476, 0.302, 0.500], [0.500, 0.500, 0.000], [0.524, 0.698, 0.500], [0.698, 0.198, 0.174], [0.802, 0.976, 0.500], [0.976, 0.476, 0.174], [0.250, 0.250, 0.000], [0.750, 0.750, 0.000], [0.137, 0.363, 0.500], [0.363, 0.863, 0.227], [0.637, 0.137, 0.773], [0.863, 0.637, 0.500]]
}



{
  "formula": "VFe2Pd5",
  "functional": "PBE",
  "state": "optimized geometry",
  "energy_ev_per_atom": -6.55,
  "space_group": "No. 63",
  "crystal_system": "orthorhombic",
  "lattice_angstrom": [[2.019, -4.429, 0.000], [2.019, 4.429, 0.000], [0.000, 0.000, 13.054]],
  "species": ["V", "V", "Fe", "Fe", "Fe", "Fe", "Pd", "Pd", "Pd", "Pd", "Pd", "Pd", "Pd", "Pd", "Pd", "Pd"],
  "frac_coords": [[0.217, 0.783, 0.750], [0.783, 0.217, 0.250], [0.236, 0.764, 0.150], [0.236, 0.764, 0.350], [0.764, 0.236, 0.650], [0.764, 0.236, 0.850], [0.052, 0.948, 0.600], [0.052, 0.948, 0.900], [0.353, 0.647, 0.541], [0.353, 0.647, 0.959], [0.500, 0.500, 0.250], [0.500, 0.500, 0.750], [0.647, 0.353, 0.041], [0.647, 0.353, 0.459], [0.948, 0.052, 0.100], [0.948, 0.052, 0.400]]
}



{
  "formula": "InAsSe2",
  "functional": "PBE",
  "state": "optimized geometry",
  "energy_ev_per_atom": -3.76,
  "space_group": "No. 160",
  "crystal_system": "trigonal",
  "lattice_angstrom": [[1.977, 1.142, 7.720], [-1.977, 1.142, 7.720], [0.000, -2.283, 7.720]],
  "species": ["In", "As", "Se", "Se"],
  "frac_coords": [[0.000, 0.000, 0.000], [0.759, 0.759, 0.759], [0.272, 0.272, 0.272], [0.481, 0.481, 0.481]]
}



{
  "formula": "La5Tb2Nd4",
  "functional": "PBE",
  "state": "optimized geometry",
  "energy_ev_per_atom": -4.74,
  "space_group": "No. 10",
  "crystal_system": "monoclinic",
  "lattice_angstrom": [[9.123, 0.000, 0.000], [0.000, 3.581, 0.000], [-0.936, 0.000, 11.981]],
  "species": ["La", "La", "La", "La", "La", "Tb", "Tb", "Nd", "Nd", "Nd", "Nd"],
  "frac_coords": [[0.000, 0.000, 0.000], [0.070, 0.000, 0.291], [0.303, 0.000, 0.832], [0.697, 0.000, 0.168], [0.930, 0.000, 0.709], [0.444, 0.000, 0.365], [0.556, 0.000, 0.635], [0.215, 0.500, 0.548], [0.344, 0.500, 0.108], [0.656, 0.500, 0.892], [0.785, 0.500, 0.452]]
}



{
  "formula": "Sn2PdPt6",
  "functional": "PBE",
  "state": "optimized geometry",
  "energy_ev_per_atom": -5.72,
  "space_group": "No. 71",
  "crystal_system": "orthorhombic",
  "lattice_angstrom": [[-2.140, 2.831, 6.557], [2.140, -2.831, 6.557], [2.140, 2.831, -6.557]],
  "species": ["Sn", "Sn", "Pd", "Pt", "Pt", "Pt", "Pt", "Pt", "Pt"],
  "frac_coords": [[0.157, 0.157, 0.000], [0.843, 0.843, 0.000], [0.500, 0.000, 0.500], [0.158, 0.398, 0.760], [0.290, 0.790, 0.500], [0.362, 0.602, 0.760], [0.638, 0.398, 0.240], [0.710, 0.210, 0.500], [0.842, 0.602, 0.240]]
}



Number 1: magnetization 0.000 μB/f.u.. Number 2: magnetization 0.000 μB/f.u.. Number 3: magnetization 0.000 μB/f.u.. Number 4: magnetization 0.000 μB/f.u.. Number 5: magnetization 4.500 μB/f.u.. Number 6: magnetization 0.000 μB/f.u.. Number 7: magnetization 0.000 μB/f.u.. Number 8: magnetization 0.000 μB/f.u..